CsRh2S2 after structural relaxation, computed with GGA-PBE.

The space group is I4/mmm (No. 139) and the conventional cell measures 4.038, 4.038 and 13.842 Å, with angles of 90.00, 90.00 and 90.00 degrees. The distinct sites, in fractional coordinates, are Cs at (0.000, 0.000, 0.000), Rh at (0.000, 0.500, 0.250) and S at (0.000, 0.000, 0.341).

Its uncorrected formation energy is -514 meV per atom. As for the density of states at the Fermi level: 4.9 states/eV/f.u. The total energy comes out at -0.1939 Ha/atom. The value obtained for the calculated volume is 22.56 Å³/atom.